The following is a GGA-PBE calculation of a geometry-optimized K2CaCl structure, from Alexandria via LeMat-Bulk.

Summary:
- Formation energy (no corrections): -0.428 eV per atom
- Energy above the most stable polymorph in this dataset: 424.0 meV/atom
- Magnetic moment: 0.0 Bohr magnetons per cell

a = 6.3892 Å, b = 6.4011 Å, c = 4.5556 Å
α = 90.00°, β = 90.00°, γ = 90.00°
Last column: nearest neighbours and their distance in Å.
Fractional positions:
1 Ca 0.5000 0.0000 0.5000  8 K 3.92-3.93
2 K 0.0000 0.0000 0.0000  4 Ca 3.92, 4 Cl 3.93
3 K 0.5000 0.5000 0.0000  4 Cl 3.92, 4 Ca 3.93
4 Cl 0.0000 0.5000 0.5000  8 K 3.92-3.93

---

The following is a GGA-PBE calculation of a geometry-optimized SrMg2Ti2O7 structure, from Alexandria via LeMat-Bulk.

Summary:
- Formation energy (no corrections): -2.954 eV per atom
- Magnetic moment: 0.0 Bohr magnetons per cell

a = 3.9882 Å, b = 4.1644 Å, c = 8.8077 Å
α = 103.67°, β = 103.09°, γ = 90.00°
Last column: nearest neighbours and their distance in Å.
Fractional positions:
1 Sr 0.0000 0.0448 0.0000  8 O 2.67-2.79
2 Mg 0.2509 0.7457 0.5018  6 O 2.02-2.22
3 Mg 0.7491 0.2438 0.4982  6 O 2.02-2.22
4 Ti 0.3864 0.4269 0.7727  5 O 1.81-2.01
5 Ti 0.6136 0.6542 0.2273  5 O 1.81-2.01
6 O 0.3841 0.8600 0.7682  1 Ti 1.81
7 O 0.7326 0.7229 0.4652  1 Ti 1.99, 4 Mg 2.02-2.12
8 O 0.1176 0.6087 0.2352  2 Ti 2.01, 1 Mg 2.22
9 O 0.6159 0.0918 0.2318  1 Ti 1.81
10 O 0.2674 0.2577 0.5348  1 Ti 1.99, 4 Mg 2.02-2.12
11 O 0.8824 0.3735 0.7648  2 Ti 2.01, 1 Mg 2.22
12 O 0.5000 0.4696 0.0000  2 Ti 1.91

---

The following is a GGA-PBE calculation of a geometry-optimized Pa2FeCo12Si3 structure, from Alexandria via LeMat-Bulk.

Summary:
- Formation energy (no corrections): 0.077 eV per atom
- Magnetic moment: 9.3 Bohr magnetons per cell

a = 8.6041 Å, b = 8.6041 Å, c = 8.6041 Å
α = 41.32°, β = 41.32°, γ = 41.32°
Last column: nearest neighbours and their distance in Å.
Fractional positions:
1 Pa 0.6351 0.6351 0.6351  6 Co 2.56-2.58
2 Pa 0.3649 0.3649 0.3649  6 Co 2.56-2.58
3 Fe 0.0000 0.0000 0.0000  6 Co 2.39
4 Co 0.4094 0.4094 0.8161  2 Si 2.21, 4 Co 2.42-2.47
5 Co 0.8680 0.8680 0.4338  1 Fe 2.39, 4 Co 2.42-2.64, 1 Pa 2.58, 1 Si 2.61
6 Co 0.4338 0.8680 0.8680  1 Fe 2.39, 4 Co 2.42-2.64, 1 Pa 2.58, 1 Si 2.61
7 Co 0.8161 0.4094 0.4094  2 Si 2.21, 4 Co 2.42-2.47
8 Co 0.8680 0.4338 0.8680  1 Fe 2.39, 4 Co 2.42-2.64, 1 Pa 2.58, 1 Si 2.61
9 Co 0.4094 0.8161 0.4094  2 Si 2.21, 4 Co 2.42-2.47
10 Co 0.5906 0.5906 0.1839  2 Si 2.21, 4 Co 2.42-2.47
11 Co 0.1320 0.1320 0.5662  1 Fe 2.39, 4 Co 2.42-2.64, 1 Pa 2.58, 1 Si 2.61
12 Co 0.5662 0.1320 0.1320  1 Fe 2.39, 4 Co 2.42-2.64, 1 Pa 2.58, 1 Si 2.61
13 Co 0.1839 0.5906 0.5906  2 Si 2.21, 4 Co 2.42-2.47
14 Co 0.1320 0.5662 0.1320  1 Fe 2.39, 4 Co 2.42-2.64, 1 Pa 2.58, 1 Si 2.61
15 Co 0.5906 0.1839 0.5906  2 Si 2.21, 4 Co 2.42-2.47
16 Si 0.5000 0.0000 0.0000  4 Co 2.21
17 Si 0.0000 0.5000 0.0000  4 Co 2.21
18 Si 0.0000 0.0000 0.5000  4 Co 2.21

---

The following is a GGA-PBE calculation of a geometry-optimized Pr3Tm3MgSe8 structure, from Alexandria via LeMat-Bulk.

Summary:
- Formation energy (no corrections): -1.752 eV per atom
- Magnetic moment: 0.0 Bohr magnetons per cell

a = 8.1514 Å, b = 8.1517 Å, c = 8.3318 Å
α = 119.29°, β = 90.00°, γ = 120.00°
Last column: nearest neighbours and their distance in Å.
Fractional positions:
1 Pr 0.0000 0.0000 0.0000  6 Se 3.00
2 Pr 0.0000 0.5000 0.0000  6 Se 3.00
3 Pr 0.5000 0.5000 0.0000  6 Se 3.00
4 Tm 0.5000 0.0000 0.5000  6 Se 2.83
5 Tm 0.5000 0.5000 0.5000  6 Se 2.83
6 Tm 0.0000 0.5000 0.5000  6 Se 2.83
7 Mg 0.0000 0.0000 0.5000  6 Se 2.81
8 Se 0.2570 0.5140 0.2711  3 Tm 2.83, 3 Pr 3.00
9 Se 0.7430 0.4860 0.7289  3 Tm 2.83, 3 Pr 3.00
10 Se 0.7587 0.5174 0.2724  1 Mg 2.81, 2 Tm 2.83, 2 Pr 3.00
11 Se 0.2413 0.4826 0.7276  1 Mg 2.81, 2 Tm 2.83, 2 Pr 3.00
12 Se 0.7587 0.0136 0.2723  1 Mg 2.81, 2 Tm 2.83, 2 Pr 3.00
13 Se 0.2413 0.9864 0.7277  1 Mg 2.81, 2 Tm 2.83, 2 Pr 3.00
14 Se 0.2550 0.0136 0.2723  1 Mg 2.81, 2 Tm 2.83, 2 Pr 3.00
15 Se 0.7450 0.9864 0.7277  1 Mg 2.81, 2 Tm 2.83, 2 Pr 3.00

---

The following is a GGA-PBE calculation of a geometry-optimized NiP2 structure, from Alexandria via LeMat-Bulk.

Summary:
- Magnetic moment: 0.0 Bohr magnetons per cell
- ΔE_f: 0.05 eV per atom

a = 5.5690 Å, b = 5.5690 Å, c = 6.8064 Å
α = 70.88°, β = 70.88°, γ = 26.83°
Last column: nearest neighbours and their distance in Å.
Fractional positions:
1 Ni 0.9683 0.9683 0.0173  6 P 2.33-2.42, 4 Ni 2.58-2.60
2 Ni 0.5987 0.5987 0.6788  4 P 2.23-2.27
3 P 0.3842 0.3842 0.3188  1 P 2.18, 2 Ni 2.33
4 P 0.3761 0.3761 0.8100  3 Ni 2.27-2.37, 2 P 2.50
5 P 0.1721 0.1721 0.3881  1 P 2.18, 2 Ni 2.27
6 P 0.6673 0.6673 0.9538  3 Ni 2.23-2.42, 2 P 2.50

---

The following is a GGA-PBE calculation of a geometry-optimized NaInOs2I structure, from Alexandria via LeMat-Bulk.

Summary:
- Formation energy (no corrections): 2.448 eV per atom
- Magnetic moment: 5.1 Bohr magnetons per cell

a = 4.9630 Å, b = 5.3114 Å, c = 4.9630 Å
α = 90.00°, β = 90.00°, γ = 90.00°
Last column: nearest neighbours and their distance in Å.
Fractional positions:
1 I 0.5000 0.5000 0.5000  4 In 3.51, 8 Os 3.63
2 Na 0.0000 0.0000 0.0000  4 Os 2.48, 2 In 2.66
3 Os 0.0000 0.0000 0.5000  2 Na 2.48
4 Os 0.5000 0.0000 0.0000  2 Na 2.48
5 In 0.0000 0.5000 0.0000  2 Na 2.66